Computed, not measured: crystalline ReRhC2 at its relaxed geometry at the PBE level of DFT.

Output
ΔE_f in eV/atom: 1.241
Relative energy among the computed polymorphs in eV per formula unit: 2.804

abc: 5.4039 5.4039 5.4039
angles: 90.00 90.00 90.00
Space group Fm-3m (No. 225)
Inequivalent atoms, fractional coordinates:
Re  0.0000  0.0000  0.0000 x4
Rh  0.0000  0.0000  0.5000 x4
C  0.2500  0.2500  0.2500 x8